# 1
# NdInP2

A relaxed structure of NdInP2 (GGA-PBE, Alexandria via LeMat-Bulk). Values from VASP.

```
&SYSTEM
  ibrav = 0, nat = 4, ntyp = 3
/
ATOMIC_SPECIES
P 30.97 P.upf
Nd 144.24 Nd.upf
In 114.82 In.upf
CELL_PARAMETERS angstrom
-2.944 0.365 -2.841
-1.468 -3.345 -1.878
-5.944 -1.590 2.985
ATOMIC_POSITIONS angstrom
P -2.516 -1.133 -0.508
P -7.839 -3.437 -1.228
Nd -5.178 -2.285 -0.868
In 0.000 0.000 0.000
```

Summary:
formation energy: -0.63 eV per atom



# 2
# ZnFeCl2

A relaxed structure of ZnFeCl2 (GGA-PBE, Alexandria via LeMat-Bulk). Values from VASP.

```
&SYSTEM
  ibrav = 0, nat = 4, ntyp = 3
/
ATOMIC_SPECIES
Zn 65.41 Zn.upf
Fe 55.84 Fe.upf
Cl 35.45 Cl.upf
CELL_PARAMETERS angstrom
3.071 0.000 0.000
0.000 3.072 0.000
0.000 0.000 9.036
ATOMIC_POSITIONS angstrom
Zn 1.536 1.536 6.777
Fe 1.536 1.536 2.259
Cl 0.000 0.000 0.748
Cl 0.000 0.000 3.770
```

Summary:
formation energy from raw total energies: -0.1305 eV/atom
E above lowest polymorph: 230 meV/atom



# 3
# TlSb2I8

A relaxed structure of TlSb2I8 (GGA-PBE, Alexandria via LeMat-Bulk). Values from VASP.

```
&SYSTEM
  ibrav = 0, nat = 11, ntyp = 3
/
ATOMIC_SPECIES
Tl 204.38 Tl.upf
Sb 121.76 Sb.upf
I 126.90 I.upf
CELL_PARAMETERS angstrom
8.408 0.436 0.331
0.631 9.087 0.367
0.631 2.801 8.653
ATOMIC_POSITIONS angstrom
Tl 0.000 0.000 0.000
Sb 6.634 9.491 7.201
Sb 3.034 2.833 2.150
I 2.511 5.851 8.268
I 7.158 2.786 5.943
I 3.868 10.324 7.833
I 5.800 2.000 1.518
I 2.511 9.538 3.408
I 7.158 6.473 1.083
I 8.048 7.435 5.641
I 1.620 4.889 3.710
```

Summary:
formation energy from raw total energies: -0.2621 eV/atom



# 4
# ErPuSi2

A relaxed structure of ErPuSi2 (GGA-PBE, Alexandria via LeMat-Bulk). Values from VASP.

```
&SYSTEM
  ibrav = 0, nat = 4, ntyp = 3
/
ATOMIC_SPECIES
Si 28.09 Si.upf
Er 167.26 Er.upf
Pu 244.00 Pu.upf
CELL_PARAMETERS angstrom
4.774 0.000 0.000
2.387 4.135 0.000
2.387 1.378 4.276
ATOMIC_POSITIONS angstrom
Si 7.161 4.135 3.232
Si 2.387 1.378 1.044
Er 4.774 2.756 2.138
Pu 0.000 0.000 0.000
```

Summary:
formation energy from raw total energies: -0.3628 eV/atom
E above lowest polymorph: 239 meV/atom



# 5
# CsMgTc3

A relaxed structure of CsMgTc3 (GGA-PBE, Alexandria via LeMat-Bulk). Values from VASP.

```
&SYSTEM
  ibrav = 0, nat = 5, ntyp = 3
/
ATOMIC_SPECIES
Cs 132.91 Cs.upf
Mg 24.30 Mg.upf
Tc 98.00 Tc.upf
CELL_PARAMETERS angstrom
-0.142 -1.883 -4.713
4.812 -1.550 0.474
-1.614 -4.453 1.827
ATOMIC_POSITIONS angstrom
Cs 1.528 -3.943 -1.206
Mg 0.000 0.000 0.000
Tc 2.406 -0.775 0.237
Tc -0.807 -2.227 0.914
Tc -0.071 -0.941 -2.356
```

Summary:
E above lowest polymorph: 0 meV/atom
formation energy: 2.27 eV per atom



# 6
# ScZnAu2

A relaxed structure of ScZnAu2 (GGA-PBE, Alexandria via LeMat-Bulk). Values from VASP.

```
&SYSTEM
  ibrav = 0, nat = 4, ntyp = 3
/
ATOMIC_SPECIES
Sc 44.96 Sc.upf
Zn 65.41 Zn.upf
Au 196.97 Au.upf
CELL_PARAMETERS angstrom
4.989 -0.014 -0.030
1.436 4.778 0.030
-3.183 -2.422 2.982
ATOMIC_POSITIONS angstrom
Sc 3.211 2.381 0.000
Zn 0.729 2.366 1.506
Au 0.005 0.004 0.000
Au 2.511 -0.026 1.476
```

Summary:
formation energy: -0.53 eV per atom



# 7
# Fe4NiIr12

A relaxed structure of Fe4NiIr12 (GGA-PBE, Alexandria via LeMat-Bulk). Values from VASP.

```
&SYSTEM
  ibrav = 0, nat = 17, ntyp = 3
/
ATOMIC_SPECIES
Fe 55.84 Fe.upf
Ni 58.69 Ni.upf
Ir 192.22 Ir.upf
CELL_PARAMETERS angstrom
6.480 0.000 -2.291
-3.240 5.612 -2.291
0.000 0.000 6.873
ATOMIC_POSITIONS angstrom
Fe 0.000 0.000 3.436
Fe 3.240 0.000 -1.145
Fe 1.620 2.806 1.145
Fe -1.620 2.806 -1.145
Ni 0.000 0.000 0.000
Ir -0.931 1.612 1.316
Ir -2.309 4.000 3.266
Ir 2.309 4.000 -3.266
Ir 0.931 1.612 -1.316
Ir 1.861 0.000 1.316
Ir 4.619 0.000 3.266
Ir 2.430 1.403 3.436
Ir 0.810 4.209 -1.145
Ir 4.050 1.403 1.145
Ir -0.810 4.209 1.145
Ir 3.240 2.806 -1.145
Ir 0.000 2.806 3.436
```

Summary:
formation energy: 0.29 eV per atom



# 8
# BeCuPt2

A relaxed structure of BeCuPt2 (GGA-PBE, Alexandria via LeMat-Bulk). Values from VASP.

```
&SYSTEM
  ibrav = 0, nat = 4, ntyp = 3
/
ATOMIC_SPECIES
Be 9.01 Be.upf
Cu 63.55 Cu.upf
Pt 195.08 Pt.upf
CELL_PARAMETERS angstrom
4.712 -0.016 0.000
1.843 4.337 0.000
-3.277 -2.160 2.607
ATOMIC_POSITIONS angstrom
Be 3.277 2.160 0.000
Cu 2.356 -0.008 1.303
Pt 0.000 0.000 0.000
Pt 0.921 2.168 1.303
```

Summary:
formation energy: -0.21 eV per atom